No. 1
# Re2IrRh

An optimized crystal structure of Re2IrRh (PBE, the Alexandria database).

M_tot = 0.00 μB/atom

a = 6.2176 Å, b = 6.2176 Å, c = 6.2176 Å
α = 90.00°, β = 90.00°, γ = 90.00°
Last column: nearest neighbours and their distance in Å.
Space group Fm-3m (No. 225)
One atom of each set of equivalent atoms:
Re (0.2500, 0.2500, 0.2500) x8  4 Ir 2.69, 4 Rh 2.69
Ir (0.0000, 0.0000, 0.0000) x4  8 Re 2.69
Rh (0.0000, 0.0000, 0.5000) x4  8 Re 2.69

---

No. 2
# ReIrRh2

An optimized crystal structure of ReIrRh2 (PBE, the Alexandria database).

M_tot = 0.00 μB/atom

a = 5.5999 Å, b = 5.5999 Å, c = 10.8919 Å
α = 90.00°, β = 90.00°, γ = 90.00°
Last column: nearest neighbours and their distance in Å.
Space group I-42d (No. 122)
One atom of each set of equivalent atoms:
Re (0.0000, 0.0000, 0.0000) x4  4 Rh 2.39
Ir (0.0000, 0.0000, 0.5000) x4  4 Rh 2.41
Rh (0.2466, 0.2500, 0.1250) x8  2 Re 2.39, 2 Ir 2.41

---

No. 3
# ReIrRh2

An optimized crystal structure of ReIrRh2 (PBE, the Alexandria database).

M_tot = 0.00 μB/atom

a = 9.0852 Å, b = 2.7239 Å, c = 4.7273 Å
α = 90.00°, β = 99.82°, γ = 90.00°
Last column: nearest neighbours and their distance in Å.
Space group Cm (No. 8)
One atom of each set of equivalent atoms:
Re (0.0000, 0.0000, 0.0000) x2  3 Ir 2.70-2.74, 7 Rh 2.72-2.75, 2 Re 2.72
Ir (0.2538, 0.0000, 0.7587) x2  3 Re 2.70-2.74, 7 Rh 2.70-2.75, 2 Ir 2.72
Rh (0.0034, 0.5000, 0.5029) x2  5 Rh 2.70-2.78, 4 Re 2.72-2.74, 3 Ir 2.75
Rh (0.2481, 0.5000, 0.2510) x2  5 Rh 2.70-2.78, 4 Ir 2.70-2.75, 3 Re 2.73-2.75

---

No. 4
# ReIr2Rh

An optimized crystal structure of ReIr2Rh (PBE, the Alexandria database).

M_tot = 0.00 μB/atom

a = 9.1174 Å, b = 2.7286 Å, c = 4.7333 Å
α = 90.00°, β = 99.79°, γ = 90.00°
Last column: nearest neighbours and their distance in Å.
Space group C2/m (No. 12)
One atom of each set of equivalent atoms:
Re (0.0000, 0.0000, 0.0000) x2  6 Ir 2.71-2.76, 2 Re 2.73, 4 Rh 2.73
Ir (0.2462, 0.5000, 0.2466) x4  6 Ir 2.71-2.75, 3 Re 2.71-2.76, 3 Rh 2.72-2.78
Rh (0.0000, 0.5000, 0.5000) x2  6 Ir 2.72-2.78, 2 Rh 2.73, 4 Re 2.73

---

No. 5
# ReIr2Rh

An optimized crystal structure of ReIr2Rh (PBE, the Alexandria database).

M_tot = 0.00 μB/atom

a = 3.3135 Å, b = 3.3135 Å, c = 5.4368 Å
α = 90.00°, β = 90.00°, γ = 90.00°
Last column: nearest neighbours and their distance in Å.
Space group P4/mmm (No. 123)
One atom of each set of equivalent atoms:
Re (0.0000, 0.0000, 0.0000) x1  8 Ir 2.71, 2 Rh 2.72
Ir (0.5000, 0.5000, 0.2493) x2  4 Re 2.71, 2 Ir 2.71-2.73, 4 Rh 2.71
Rh (0.0000, 0.0000, 0.5000) x1  8 Ir 2.71, 2 Re 2.72

---

No. 6
# Re2IrRh

An optimized crystal structure of Re2IrRh (PBE, the Alexandria database).

M_tot = 0.00 μB/atom

a = 3.3269 Å, b = 3.3269 Å, c = 5.4455 Å
α = 90.00°, β = 90.00°, γ = 90.00°
Last column: nearest neighbours and their distance in Å.
Space group P4/mmm (No. 123)
One atom of each set of equivalent atoms:
Re (0.0000, 0.0000, 0.2395) x2  2 Re 2.61-2.84, 4 Ir 2.69, 4 Rh 2.75
Ir (0.5000, 0.5000, 0.0000) x1  8 Re 2.69, 2 Rh 2.72
Rh (0.5000, 0.5000, 0.5000) x1  2 Ir 2.72, 8 Re 2.75

---

What are the total DFT energy (no corrections) values for these records? In order: -38.95 -31.54 -36.27 -37.85 -36.49 -39.81 eV/f.u..
What are the energy of formation values for these records? In order: 0.539 1.117 -0.064 -0.083 0.257 0.324 eV/atom.